Record 1
ZrZn2Cu2: optimized geometry, GGA-PBE.

abc: 7.4349 7.4349 2.7029
angles: 90.00 90.00 90.00
With the nearest neighbours (Å) after each atom.
Space group P4/mbm (No. 127)
One atom of each set of equivalent atoms:
1 Zr 0.0000 0.0000 0.0000 [2 per cell]  2 Zr 2.70, 4 Cu 2.95
2 Zn 0.1721 0.3279 0.5000 [4 per cell]  6 Cu 2.55-2.60, 2 Zn 2.70
3 Cu 0.1227 0.6227 0.0000 [4 per cell]  6 Zn 2.55-2.60, 3 Cu 2.58-2.70

Computed properties:
D(E_F): 5.735 states/eV/cell
offset from the most stable computed form: 0.0 kJ/mol of atoms
E_form: -105 meV/atom

***

Record 2
ZrZnCu2: optimized geometry, GGA-PBE.

abc: 2.8245 3.3775 6.3936
angles: 90.00 90.00 90.00
With the nearest neighbours (Å) after each atom.
Space group Pmm2 (No. 25)
One atom of each set of equivalent atoms:
1 Zr 0.0000 0.0000 0.0000 [1 per cell]  2 Zr 2.82, 5 Cu 2.83-3.08, 4 Zn 2.96
2 Zn 0.5000 0.5000 0.6904 [1 per cell]  5 Cu 2.57-2.64, 2 Zn 2.82
3 Cu 0.0000 0.0000 0.4816 [1 per cell]  6 Cu 2.56-2.82, 4 Zn 2.57
4 Cu 0.5000 0.5000 0.2775 [1 per cell]  6 Cu 2.56-2.82, 1 Zn 2.64, 4 Zr 2.83

Computed properties:
D(E_F): 2.632 states/eV/cell
E_form: -104 meV/atom

***

- D(E_F) of number 1 (ZrZn2Cu2)?
  5.735 states/eV/cell

***

- D(E_F) of number 2 (ZrZnCu2)?
  2.632 states/eV/cell

***

- Number 1 is which compound?
  ZrZn2Cu2

***

- D(E_F) of number 1 (ZrZn2Cu2)?
  5.735 states/eV/cell